Crystalline Nd3Sm2S8 at its relaxed geometry. Source: Alexandria via LeMat-Bulk, functional PBE. Values from VASP.

```
&SYSTEM
  ibrav = 0, nat = 13, ntyp = 3
/
ATOMIC_SPECIES
Sm 150.36 Sm.upf
S 32.06 S.upf
Nd 144.24 Nd.upf
CELL_PARAMETERS angstrom
-0.149 6.636 -1.948
-5.032 1.726 6.266
7.763 -2.012 1.398
ATOMIC_POSITIONS angstrom
Sm 2.725 1.692 1.723
S 3.978 -0.240 3.261
Nd -0.075 3.318 -0.974
S 1.102 5.938 -0.750
S 0.106 2.872 1.789
Nd -3.703 1.270 4.611
S 1.479 0.412 6.466
S -1.397 6.590 2.455
S 5.180 2.551 0.561
S 2.476 3.478 3.927
S -2.598 3.799 5.155
Nd -1.329 0.456 1.655
Sm -0.143 4.658 3.993
```

Results
ρ   4.4 Mg/m³
E   -6.190 eV/atom
Formation energy from raw total energies   -1.824 eV/atom